First-principles (meta-GGA SCAN) data for MnCrOs2 at its PBEsol-relaxed geometry, as listed in the Alexandria database.

```
MnCrOs2
1.0
1.322 0.763 8.401
-1.322 0.763 8.401
0.000 -1.527 8.401
Mn Cr Os
1 1 2
Direct
0.000 0.000 0.000
0.500 0.500 0.500
0.251 0.251 0.251
0.749 0.749 0.749
```

Calculated values
symmetry: No. 166
E_form: 0.091 eV/atom


First-principles (meta-GGA SCAN) data for V3HRh at its PBEsol-relaxed geometry, as listed in the Alexandria database.

```
V3HRh
1.0
3.792 0.000 0.000
0.000 3.792 0.000
0.000 0.000 3.792
V H Rh
3 1 1
Direct
0.000 0.000 0.500
0.000 0.500 0.000
0.500 0.000 0.000
0.000 0.000 0.000
0.500 0.500 0.500
```

Calculated values
symmetry: No. 221
E_tot: -18.16 eV per atom